[1]
Below is a PBEsol-optimized structure of CuAg2, with properties calculated at the SCAN level.

Cell lengths 2.8022, 2.8022, 6.6164 Å; angles 90.00, 90.00, 120.00 degrees
Space group P-3m1 (No. 164)
Symmetry-distinct sites (fractional):
Cu: 0.0000 0.0000 0.0000 (multiplicity 1)
Ag: 0.3333 0.6667 0.6805 (multiplicity 2)

Output
* DOS at the Fermi energy: 0.89 states/eV per cell
* energy relative to the lowest polymorph listed for this composition: 32 meV per atom
* energy of formation: 109 meV per atom

[2]
Below is a PBEsol-optimized structure of CuAg, with properties calculated at the SCAN level.

Cell lengths 2.7481, 2.7481, 25.9602 Å; angles 90.00, 90.00, 120.00 degrees
Space group R-3m (No. 166, hexagonal axes)
Symmetry-distinct sites (fractional):
Cu: 0.0000 0.0000 0.1301 (multiplicity 6)
Ag: 0.0000 0.0000 0.3800 (multiplicity 6)

Output
* DOS at the Fermi energy: 4.62 states/eV per cell
* energy of formation: 120 meV per atom